Entry 1:
Computed, not measured: a relaxed TlCr crystal at the PBE level of DFT.

Output
- Formation energy: 0.705 eV per atom
- Volume: 151.75 Å³/cell

Unit cell a=6.1259 b=6.1259 c=6.1259 alpha=98.70 beta=98.70 gamma=134.24
Closest atoms and distances in Å follow each position.
Fractional coordinates of all 8 atoms:
1 Tl 0.0000 0.2794 0.2794  6 Cr 2.86-2.95, 2 Tl 3.15
2 Tl 0.0000 0.7206 0.7206  6 Cr 2.86-2.95, 2 Tl 3.15
3 Tl 0.2794 0.0000 0.2794  6 Cr 2.86-2.95, 2 Tl 3.15
4 Tl 0.7206 0.0000 0.7206  6 Cr 2.86-2.95, 2 Tl 3.15
5 Cr 0.3606 0.3606 0.7212  2 Cr 2.23
6 Cr 0.3606 0.6394 0.0000  2 Cr 2.23
7 Cr 0.6394 0.3606 0.0000  2 Cr 2.23
8 Cr 0.6394 0.6394 0.2788  2 Cr 2.23

Entry 2:
Computed, not measured: a relaxed Tl3Cr crystal at the PBE level of DFT.

Output
- Formation energy: 0.447 eV per atom
- Volume: 209.59 Å³/cell

Unit cell a=6.6439 b=6.6439 c=5.4777 alpha=90.00 beta=90.00 gamma=119.91
Closest atoms and distances in Å follow each position.
Fractional coordinates of all 8 atoms:
1 Tl 0.1711 0.8289 0.7500  8 Tl 3.23-3.41, 4 Cr 3.31-3.33
2 Tl 0.1718 0.3431 0.7500  8 Tl 3.23-3.43, 4 Cr 3.31-3.33
3 Tl 0.3431 0.1718 0.2500  8 Tl 3.23-3.43, 4 Cr 3.31-3.33
4 Tl 0.6569 0.8282 0.7500  8 Tl 3.23-3.43, 4 Cr 3.31-3.33
5 Tl 0.8282 0.6569 0.2500  8 Tl 3.23-3.43, 4 Cr 3.31-3.33
6 Tl 0.8289 0.1711 0.2500  8 Tl 3.23-3.41, 4 Cr 3.31-3.33
7 Cr 0.3321 0.6679 0.2500  12 Tl 3.31-3.33
8 Cr 0.6679 0.3321 0.7500  12 Tl 3.31-3.33

Entry 3:
Computed, not measured: a relaxed TlCr crystal at the PBE level of DFT.

Output
- Formation energy: 0.723 eV per atom
- Volume: 42.71 Å³/cell

Unit cell a=3.2994 b=3.2994 c=4.5302 alpha=90.00 beta=90.00 gamma=120.00
Closest atoms and distances in Å follow each position.
Fractional coordinates of all 2 atoms:
1 Tl 0.0000 0.0000 0.0000  6 Cr 2.96, 6 Tl 3.30
2 Cr 0.3333 0.6667 0.5000  6 Tl 2.96, 6 Cr 3.30

Entry 4:
Computed, not measured: a relaxed TlCr crystal at the PBE level of DFT.

Output
- Formation energy: 0.722 eV per atom
- Volume: 83.40 Å³/cell

Unit cell a=5.7728 b=5.7728 c=4.9830 alpha=108.99 beta=108.99 gamma=32.26
Closest atoms and distances in Å follow each position.
Fractional coordinates of all 4 atoms:
1 Tl 0.1215 0.1215 0.2848  7 Cr 2.94-3.09, 3 Tl 3.18-3.21
2 Tl 0.8785 0.8785 0.7152  7 Cr 2.94-3.09, 3 Tl 3.18-3.21
3 Cr 0.3738 0.3738 0.2118  7 Tl 2.94-3.09, 5 Cr 3.21-3.26
4 Cr 0.6262 0.6262 0.7882  7 Tl 2.94-3.09, 5 Cr 3.21-3.26

Question: What is the volume in the first record?
Answer: 151.75 Å³/cell